(1)
This record from Alexandria describes La7Pr2Nd3 after structural relaxation. The functional is GGA-PBE.

Lattice parameters (Å, degrees): 6.635 3.640 18.158 90.00 95.75 90.00
Space group P2/m (No. 10)
Asymmetric unit:
1 La 0.000 0.000 0.000 [1 per cell]
2 La 0.222 0.500 0.169 [2 per cell]
3 La 0.262 0.500 0.492 [2 per cell]
4 La 0.276 0.000 0.834 [2 per cell]
5 Pr 0.063 0.500 0.668 [2 per cell]
6 Nd 0.451 0.000 0.336 [2 per cell]
7 Nd 0.500 0.500 0.000 [1 per cell]

E_form: 0.06 eV/atom
Crystal system: monoclinic
Offset from the most stable computed form: 0.00 eV per formula unit

(2)
This record from Alexandria describes La2Pr5Nd3 after structural relaxation. The functional is GGA-PBE.

Lattice parameters (Å, degrees): 11.312 14.928 10.298 90.00 123.29 90.00
Space group C2/c (No. 15)
Asymmetric unit:
1 La 0.155 0.126 0.058 [8 per cell]
2 Pr 0.000 0.016 0.250 [4 per cell]
3 Pr 0.000 0.226 0.250 [4 per cell]
4 Pr 0.000 0.478 0.750 [4 per cell]
5 Pr 0.250 0.126 0.744 [8 per cell]
6 Nd 0.000 0.266 0.750 [4 per cell]
7 Nd 0.150 0.375 0.554 [8 per cell]

E_form: 0.16 eV/atom
Crystal system: monoclinic

(3)
This record from Alexandria describes La2Pr4Nd5 after structural relaxation. The functional is GGA-PBE.

Lattice parameters (Å, degrees): 24.777 3.540 9.097 90.00 96.62 90.00
Space group C2/m (No. 12)
Asymmetric unit:
1 La 0.089 0.000 0.233 [4 per cell]
2 Pr 0.047 0.000 0.862 [4 per cell]
3 Pr 0.179 0.500 0.971 [4 per cell]
4 Nd 0.000 0.500 0.500 [2 per cell]
5 Nd 0.141 0.000 0.615 [4 per cell]
6 Nd 0.232 0.000 0.326 [4 per cell]

E_form: 0.12 eV/atom
Crystal system: monoclinic
Offset from the most stable computed form: 0.00 eV per formula unit

(4)
This record from Alexandria describes La4PrNd8 after structural relaxation. The functional is GGA-PBE.

Lattice parameters (Å, degrees): 11.9383 11.9383 11.8594 90.00 90.00 120.00
Space group R-3m (No. 166, hexagonal axes)
Asymmetric unit:
1 La 0.0000 0.0000 0.0000 [3 per cell]
2 La 0.0000 0.5000 0.0000 [9 per cell]
3 Pr 0.0000 0.0000 0.5000 [3 per cell]
4 Nd 0.0000 0.0000 0.2391 [6 per cell]
5 Nd 0.0044 0.5022 0.6649 [18 per cell]

E_form: 0.35 eV/atom
Crystal system: trigonal

(5)
This record from Alexandria describes LaPrNd4 after structural relaxation. The functional is GGA-PBE.

Lattice parameters (Å, degrees): 9.573 9.573 9.573 90.00 90.00 90.00
Space group F-43m (No. 216)
Asymmetric unit:
1 La 0.000 0.000 0.000 [4 per cell]
2 Pr 0.250 0.250 0.750 [4 per cell]
3 Nd 0.125 0.125 0.375 [16 per cell]

E_form: 0.23 eV/atom
Crystal system: cubic
Offset from the most stable computed form: 1.30 eV per formula unit

(6)
This record from Alexandria describes LaPr4Nd5 after structural relaxation. The functional is GGA-PBE.

Lattice parameters (Å, degrees): 29.247 3.551 7.019 90.00 97.28 90.00
Space group C2/m (No. 12)
Asymmetric unit:
1 La 0.000 0.000 0.000 [2 per cell]
2 Pr 0.095 0.500 0.303 [4 per cell]
3 Pr 0.108 0.000 0.806 [4 per cell]
4 Nd 0.000 0.000 0.500 [2 per cell]
5 Nd 0.202 0.500 0.601 [4 per cell]
6 Nd 0.206 0.500 0.102 [4 per cell]

E_form: 0.12 eV/atom
Crystal system: monoclinic
Offset from the most stable computed form: 0.00 eV per formula unit

(7)
This record from Alexandria describes LaPr12Nd6 after structural relaxation. The functional is GGA-PBE.

Lattice parameters (Å, degrees): 15.8558 15.8558 9.9397 90.00 90.00 120.00
Space group R-3m (No. 166, hexagonal axes)
Asymmetric unit:
1 La 0.0000 0.0000 0.0000 [3 per cell]
2 Pr 0.0000 0.3928 0.5000 [18 per cell]
3 Pr 0.0685 0.1370 0.3183 [18 per cell]
4 Nd 0.0318 0.5159 0.1890 [18 per cell]

E_form: 0.37 eV/atom
Crystal system: trigonal
Offset from the most stable computed form: 4.78 eV per formula unit

(8)
This record from Alexandria describes LaPr7Nd12 after structural relaxation. The functional is GGA-PBE.

Lattice parameters (Å, degrees): 13.1955 13.1955 14.4760 90.00 90.00 120.00
Space group R-3 (No. 148, hexagonal axes)
Asymmetric unit:
1 La 0.0000 0.0000 0.0000 [3 per cell]
2 Pr 0.0000 0.0000 0.5000 [3 per cell]
3 Pr 0.0664 0.1993 0.8428 [18 per cell]
4 Nd 0.0010 0.4320 0.7483 [18 per cell]
5 Nd 0.0664 0.8661 0.3487 [18 per cell]

E_form: 0.25 eV/atom
Crystal system: trigonal
Offset from the most stable computed form: 0.00 eV per formula unit

(9)
This record from Alexandria describes LaPr4Nd8 after structural relaxation. The functional is GGA-PBE.

Lattice parameters (Å, degrees): 11.4161 11.4161 13.7097 90.00 90.00 120.00
Space group R-3m (No. 166, hexagonal axes)
Asymmetric unit:
1 La 0.0000 0.0000 0.0000 [3 per cell]
2 Pr 0.0000 0.0000 0.5000 [3 per cell]
3 Pr 0.0000 0.5000 0.5000 [9 per cell]
4 Nd 0.0000 0.0000 0.2632 [6 per cell]
5 Nd 0.0136 0.5068 0.2421 [18 per cell]

E_form: 0.47 eV/atom
Crystal system: trigonal

(10)
This record from Alexandria describes La6Pr5Nd after structural relaxation. The functional is GGA-PBE.

Lattice parameters (Å, degrees): 6.438 7.442 9.111 89.92 89.96 89.97
Space group P-1 (No. 2)
Asymmetric unit:
1 La 0.000 0.249 0.000 [2 per cell]
2 La 0.333 0.250 0.333 [2 per cell]
3 La 0.333 0.750 0.333 [2 per cell]
4 Pr 0.167 0.000 0.667 [2 per cell]
5 Pr 0.167 0.500 0.667 [2 per cell]
6 Pr 0.500 0.500 0.000 [1 per cell]
7 Nd 0.500 0.000 0.000 [1 per cell]

E_form: 0.01 eV/atom
Crystal system: triclinic

(11)
This record from Alexandria describes La12Pr3Nd after structural relaxation. The functional is GGA-PBE.

Lattice parameters (Å, degrees): 5.254 5.254 21.045 90.00 90.00 90.00
Space group P4/mmm (No. 123)
Asymmetric unit:
1 La 0.000 0.000 0.000 [1 per cell]
2 La 0.000 0.000 0.250 [2 per cell]
3 La 0.000 0.000 0.500 [1 per cell]
4 La 0.000 0.500 0.125 [4 per cell]
5 La 0.000 0.500 0.375 [4 per cell]
6 Pr 0.500 0.500 0.000 [1 per cell]
7 Pr 0.500 0.500 0.250 [2 per cell]
8 Nd 0.500 0.500 0.500 [1 per cell]

E_form: 0.00 eV/atom
Crystal system: tetragonal

(12)
This record from Alexandria describes La5Pr4Nd3 after structural relaxation. The functional is GGA-PBE.

Lattice parameters (Å, degrees): 6.436 7.416 9.126 90.18 90.05 90.15
Space group P-1 (No. 2)
Asymmetric unit:
1 La 0.000 0.000 0.000 [1 per cell]
2 La 0.333 0.500 0.333 [2 per cell]
3 La 0.500 0.251 0.000 [2 per cell]
4 Pr 0.166 0.750 0.666 [2 per cell]
5 Pr 0.334 0.000 0.334 [2 per cell]
6 Nd 0.000 0.500 0.000 [1 per cell]
7 Nd 0.167 0.250 0.667 [2 per cell]

E_form: 0.01 eV/atom
Crystal system: triclinic

(13)
This record from Alexandria describes LaPr6Nd after structural relaxation. The functional is GGA-PBE.

Lattice parameters (Å, degrees): 7.454 10.503 14.868 90.00 90.00 90.00
Space group Fmmm (No. 69)
Asymmetric unit:
1 La 0.000 0.000 0.000 [4 per cell]
2 Pr 0.000 0.000 0.250 [8 per cell]
3 Pr 0.250 0.250 0.125 [16 per cell]
4 Nd 0.000 0.000 0.500 [4 per cell]

E_form: 0.01 eV/atom
Crystal system: orthorhombic
Offset from the most stable computed form: 0.03 eV per formula unit

(14)
This record from Alexandria describes La3Pr4NdS8 after structural relaxation. The functional is GGA-PBE.

Lattice parameters (Å, degrees): 8.2454 8.2454 20.1616 90.00 90.00 120.00
Space group R-3m (No. 166, hexagonal axes)
Asymmetric unit:
1 La 0.0000 0.5000 0.0000 [9 per cell]
2 Pr 0.0000 0.0000 0.5000 [3 per cell]
3 Pr 0.0000 0.5000 0.5000 [9 per cell]
4 Nd 0.0000 0.0000 0.0000 [3 per cell]
5 S 0.0000 0.0000 0.2495 [6 per cell]
6 S 0.0021 0.5011 0.7499 [18 per cell]

Crystal system: trigonal
Formation energy without anion corrections: -200.6 kJ per mole of atoms

(15)
This record from Alexandria describes LaPr3Nd4S8 after structural relaxation. The functional is GGA-PBE.

Lattice parameters (Å, degrees): 8.1886 8.1886 20.0658 90.00 90.00 120.00
Space group R-3m (No. 166, hexagonal axes)
Asymmetric unit:
1 La 0.0000 0.0000 0.0000 [3 per cell]
2 Pr 0.0000 0.5000 0.0000 [9 per cell]
3 Nd 0.0000 0.0000 0.5000 [3 per cell]
4 Nd 0.0000 0.5000 0.5000 [9 per cell]
5 S 0.0000 0.0000 0.2488 [6 per cell]
6 S 0.0004 0.5002 0.2487 [18 per cell]

Crystal system: trigonal
Formation energy without anion corrections: -196.8 kJ per mole of atoms

(16)
This record from Alexandria describes La3Pr2NdS6 after structural relaxation. The functional is GGA-PBE.

Lattice parameters (Å, degrees): 7.145 12.394 7.132 90.00 109.59 90.00
Space group C2/m (No. 12)
Asymmetric unit:
1 La 0.000 0.000 0.000 [2 per cell]
2 La 0.000 0.333 0.000 [4 per cell]
3 Pr 0.000 0.167 0.500 [4 per cell]
4 Nd 0.000 0.500 0.500 [2 per cell]
5 S 0.248 0.334 0.747 [8 per cell]
6 S 0.249 0.500 0.252 [4 per cell]

Crystal system: monoclinic
Formation energy without anion corrections: -203.0 kJ per mole of atoms

(17)
This record from Alexandria describes LaPrNd4S8 after structural relaxation. The functional is GGA-PBE.

Lattice parameters (Å, degrees): 8.3819 8.3819 20.5773 90.00 90.00 120.00
Space group R3m (No. 160, hexagonal axes)
Asymmetric unit:
1 La 0.0000 0.0000 0.0000 [3 per cell]
2 Pr 0.0000 0.0000 0.6249 [3 per cell]
3 Nd 0.0000 0.0000 0.2505 [3 per cell]
4 Nd 0.0017 0.5008 0.1256 [9 per cell]
5 S 0.0000 0.0000 0.3827 [3 per cell]
6 S 0.0000 0.0000 0.8657 [3 per cell]
7 S 0.0234 0.5117 0.3792 [9 per cell]
8 S 0.1757 0.3513 0.2057 [9 per cell]

Crystal system: trigonal
Formation energy without anion corrections: -185.8 kJ per mole of atoms

(18)
This record from Alexandria describes LaPr2Nd3S6 after structural relaxation. The functional is GGA-PBE.

Lattice parameters (Å, degrees): 7.084 12.307 7.091 90.00 109.52 90.00
Space group C2/m (No. 12)
Asymmetric unit:
1 La 0.000 0.000 0.000 [2 per cell]
2 Pr 0.000 0.333 0.000 [4 per cell]
3 Nd 0.000 0.167 0.500 [4 per cell]
4 Nd 0.000 0.500 0.500 [2 per cell]
5 S 0.248 0.333 0.746 [8 per cell]
6 S 0.249 0.000 0.746 [4 per cell]

Crystal system: monoclinic
Formation energy without anion corrections: -198.2 kJ per mole of atoms

(19)
This record from Alexandria describes LaPrNdS3 after structural relaxation. The functional is GGA-PBE.

Lattice parameters (Å, degrees): 7.100 4.015 10.727 90.00 102.47 90.00
Space group P2_1/m (No. 11)
Asymmetric unit:
1 La 0.152 0.250 0.193 [2 per cell]
2 Pr 0.267 0.750 0.555 [2 per cell]
3 Nd 0.375 0.250 0.871 [2 per cell]
4 S 0.046 0.250 0.666 [2 per cell]
5 S 0.218 0.750 0.005 [2 per cell]
6 S 0.443 0.750 0.339 [2 per cell]

Crystal system: monoclinic
Formation energy without anion corrections: -191.7 kJ per mole of atoms